A relaxed structure of CoBF2, computed with PBE with a Hubbard U.

Unit cell a=7.811 b=7.811 c=7.811 alpha=19.69 beta=19.69 gamma=19.69
Element x y z (fractional)
1 Co 0.000 0.000 0.000
2 B 0.500 0.500 0.500
3 F 0.077 0.077 0.077
4 F 0.923 0.923 0.923

Summary:
Total moment in μB/cell: 2.40
Space-group type: R-3m, No. 166
Crystal system: trigonal
Total energy in eV for the cell shown: -15.67
Relative energy among the computed polymorphs in meV/atom: 466